No. 1
YW3F: optimized geometry, GGA+U.

Cell lengths 4.640, 4.640, 4.640 Å; angles 90.00, 90.00, 90.00 degrees
Positions (direct):
Y 0.000 0.000 0.000
W 0.000 0.500 0.500
W 0.500 0.000 0.500
W 0.500 0.500 0.000
F 0.500 0.500 0.500

Summary:
Magnetization in μB per cell: 6.0
Excess energy over the best structure of this formula in the dataset in meV per atom: 0
DFT total energy in eV per atom: -4.98



No. 2
YWF2: optimized geometry, GGA+U.

Cell lengths 7.691, 7.691, 7.691 Å; angles 138.84, 138.84, 59.62 degrees
Positions (direct):
Y 0.000 0.000 0.000
Y 0.750 0.250 0.500
W 0.250 0.750 0.500
W 0.500 0.500 0.000
F 0.375 0.134 0.259
F 0.866 0.125 0.241
F 0.875 0.116 0.741
F 0.884 0.625 0.759

Summary:
Magnetization in μB per cell: 10.2
Excess energy over the best structure of this formula in the dataset in meV per atom: 0
DFT total energy in eV per atom: -5.77



No. 3
YW2F: optimized geometry, GGA+U.

Cell lengths 5.035, 5.035, 5.035 Å; angles 60.00, 60.00, 60.00 degrees
Positions (direct):
Y 0.000 0.000 0.000
W 0.250 0.250 0.250
W 0.750 0.750 0.750
F 0.500 0.500 0.500

Summary:
Magnetization in μB per cell: 8.0
Excess energy over the best structure of this formula in the dataset in meV per atom: 225
DFT total energy in eV per atom: -4.67



No. 4
YWF2: optimized geometry, GGA+U.

Cell lengths 4.636, 4.636, 4.636 Å; angles 60.00, 60.00, 60.00 degrees
Positions (direct):
Y 0.000 0.000 0.000
W 0.500 0.500 0.500
F 0.250 0.250 0.250
F 0.750 0.750 0.750

Summary:
Magnetization in μB per cell: 5.0
Excess energy over the best structure of this formula in the dataset in meV per atom: 511
DFT total energy in eV per atom: -5.26